The following is a PBE-GGA calculation of a relaxed BaTeN2Cl crystal, from Alexandria via LeMat-Bulk.

The calculation puts the formation energy without anion corrections at 1379 meV per atom. For the total moment, the calculation gives 6.6 μB per formula unit. The energy above the most stable polymorph in this dataset comes out at 1.50 kcal/mol of atoms. Its space group is P4/mmm, No. 123.

```
data_BaTeN2Cl
_chemical_formula_sum 'Ba1 Te1 N2 Cl1'
_cell_length_a 5.361
_cell_length_b 5.361
_cell_length_c 7.223
_cell_angle_alpha 90.00
_cell_angle_beta 90.00
_cell_angle_gamma 90.00
_space_group_name_H-M_alt 'P 1'
_space_group_IT_number 1
loop_
_space_group_symop_operation_xyz
'x,y,z'
loop_
_atom_site_label
_atom_site_type_symbol
_atom_site_fract_x
_atom_site_fract_y
_atom_site_fract_z
_atom_site_occupancy
Ba1 Ba 0.000 0.000 0.000 1
Te1 Te 0.000 0.000 0.500 1
N1 N 0.000 0.500 0.000 1
N2 N 0.500 0.000 0.000 1
Cl1 Cl 0.500 0.500 0.500 1
```

***

The following is a PBE-GGA calculation of a relaxed Ba3U2N5Cl2 crystal, from Alexandria via LeMat-Bulk.

The calculation puts the formation energy without anion corrections at -1525 meV per atom. For the total moment, the calculation gives 1.0 μB per formula unit. Its space group is I4/mmm, No. 139.

```
data_Ba3U2N5Cl2
_chemical_formula_sum 'Ba3 U2 N5 Cl2'
_cell_length_a 13.225
_cell_length_b 13.225
_cell_length_c 13.225
_cell_angle_alpha 160.85
_cell_angle_beta 160.85
_cell_angle_gamma 27.21
_space_group_name_H-M_alt 'P 1'
_space_group_IT_number 1
loop_
_space_group_symop_operation_xyz
'x,y,z'
loop_
_atom_site_label
_atom_site_type_symbol
_atom_site_fract_x
_atom_site_fract_y
_atom_site_fract_z
_atom_site_occupancy
Ba1 Ba 0.000 0.000 0.000 1
Ba2 Ba 0.162 0.162 0.000 1
Ba3 Ba 0.838 0.838 0.000 1
U1 U 0.416 0.416 0.000 1
U2 U 0.584 0.584 0.000 1
N1 N 0.092 0.592 0.500 1
N2 N 0.408 0.908 0.500 1
N3 N 0.500 0.500 0.000 1
N4 N 0.592 0.092 0.500 1
N5 N 0.908 0.408 0.500 1
Cl1 Cl 0.297 0.297 0.000 1
Cl2 Cl 0.703 0.703 0.000 1
```

***

The following is a PBE-GGA calculation of a relaxed Ba4NaCl10 crystal, from Alexandria via LeMat-Bulk.

The calculation puts the formation energy without anion corrections at -2219 meV per atom. For the total moment, the calculation gives 1.1 μB per formula unit. Its space group is R-3m, No. 166.

```
data_Ba4NaCl10
_chemical_formula_sum 'Ba4 Na1 Cl10'
_cell_length_a 20.517
_cell_length_b 20.517
_cell_length_c 20.517
_cell_angle_alpha 14.66
_cell_angle_beta 14.66
_cell_angle_gamma 14.66
_space_group_name_H-M_alt 'P 1'
_space_group_IT_number 1
loop_
_space_group_symop_operation_xyz
'x,y,z'
loop_
_atom_site_label
_atom_site_type_symbol
_atom_site_fract_x
_atom_site_fract_y
_atom_site_fract_z
_atom_site_occupancy
Ba1 Ba 0.105 0.105 0.105 1
Ba2 Ba 0.298 0.298 0.298 1
Ba3 Ba 0.702 0.702 0.702 1
Ba4 Ba 0.895 0.895 0.895 1
Na1 Na 0.500 0.500 0.500 1
Cl1 Cl 0.053 0.053 0.053 1
Cl2 Cl 0.162 0.162 0.162 1
Cl3 Cl 0.245 0.245 0.245 1
Cl4 Cl 0.351 0.351 0.351 1
Cl5 Cl 0.456 0.456 0.456 1
Cl6 Cl 0.544 0.544 0.544 1
Cl7 Cl 0.649 0.649 0.649 1
Cl8 Cl 0.755 0.755 0.755 1
Cl9 Cl 0.838 0.838 0.838 1
Cl10 Cl 0.947 0.947 0.947 1
```

***

The following is a PBE-GGA calculation of a relaxed Ba2NaCl2 crystal, from Alexandria via LeMat-Bulk.

The calculation puts the formation energy without anion corrections at -1442 meV per atom. For the total moment, the calculation gives 0.0 μB per formula unit. Its space group is I4/mmm, No. 139.

```
data_Ba2NaCl2
_chemical_formula_sum 'Ba2 Na1 Cl2'
_cell_length_a 8.820
_cell_length_b 8.820
_cell_length_c 8.820
_cell_angle_alpha 145.43
_cell_angle_beta 145.43
_cell_angle_gamma 49.69
_space_group_name_H-M_alt 'P 1'
_space_group_IT_number 1
loop_
_space_group_symop_operation_xyz
'x,y,z'
loop_
_atom_site_label
_atom_site_type_symbol
_atom_site_fract_x
_atom_site_fract_y
_atom_site_fract_z
_atom_site_occupancy
Ba1 Ba 0.140 0.140 0.000 1
Ba2 Ba 0.860 0.860 0.000 1
Na1 Na 0.500 0.500 0.000 1
Cl1 Cl 0.250 0.750 0.500 1
Cl2 Cl 0.750 0.250 0.500 1
```

***

The following is a PBE-GGA calculation of a relaxed BaNa3Cl crystal, from Alexandria via LeMat-Bulk.

The calculation puts the formation energy without anion corrections at -454 meV per atom. For the total moment, the calculation gives 0.0 μB per formula unit. The energy above the most stable polymorph in this dataset comes out at 0.00 kcal/mol of atoms. Its space group is Pm-3m, No. 221.

```
data_BaNa3Cl
_chemical_formula_sum 'Ba1 Na3 Cl1'
_cell_length_a 5.863
_cell_length_b 5.863
_cell_length_c 5.863
_cell_angle_alpha 90.00
_cell_angle_beta 90.00
_cell_angle_gamma 90.00
_space_group_name_H-M_alt 'P 1'
_space_group_IT_number 1
loop_
_space_group_symop_operation_xyz
'x,y,z'
loop_
_atom_site_label
_atom_site_type_symbol
_atom_site_fract_x
_atom_site_fract_y
_atom_site_fract_z
_atom_site_occupancy
Ba1 Ba 0.000 0.000 0.000 1
Na1 Na 0.000 0.500 0.500 1
Na2 Na 0.500 0.000 0.500 1
Na3 Na 0.500 0.500 0.000 1
Cl1 Cl 0.500 0.500 0.500 1
```

***

The following is a PBE-GGA calculation of a relaxed BaNa2Cl4 crystal, from Alexandria via LeMat-Bulk.

The calculation puts the formation energy without anion corrections at -2088 meV per atom. For the total moment, the calculation gives 0.0 μB per formula unit. Its space group is I4_1/amd, No. 141.

```
data_BaNa2Cl4
_chemical_formula_sum 'Ba2 Na4 Cl8'
_cell_length_a 8.034
_cell_length_b 8.034
_cell_length_c 8.034
_cell_angle_alpha 108.10
_cell_angle_beta 108.10
_cell_angle_gamma 112.24
_space_group_name_H-M_alt 'P 1'
_space_group_IT_number 1
loop_
_space_group_symop_operation_xyz
'x,y,z'
loop_
_atom_site_label
_atom_site_type_symbol
_atom_site_fract_x
_atom_site_fract_y
_atom_site_fract_z
_atom_site_occupancy
Ba1 Ba 0.375 0.625 0.750 1
Ba2 Ba 0.625 0.375 0.250 1
Na1 Na 0.000 0.000 0.000 1
Na2 Na 0.000 0.000 0.500 1
Na3 Na 0.000 0.500 0.000 1
Na4 Na 0.500 0.000 0.500 1
Cl1 Cl 0.128 0.697 0.431 1
Cl2 Cl 0.234 0.303 0.931 1
Cl3 Cl 0.303 0.234 0.431 1
Cl4 Cl 0.303 0.872 0.069 1
Cl5 Cl 0.697 0.128 0.931 1
Cl6 Cl 0.697 0.766 0.569 1
Cl7 Cl 0.766 0.697 0.069 1
Cl8 Cl 0.872 0.303 0.569 1
```